DFT (GGA-PBE) results for an optimized crystal structure of Al2ZnAsO6.

The energy relative to the elements, uncorrected is -20.0 eV per formula unit.

The structure belongs to space group C2/c (No. 15); the cell edges are 9.7909, 8.8928 and 5.3355 Å and the angles 90.00°, 102.99° and 90.00°. Symmetry generates all atoms from Al at (0.1978, 0.0902, 0.2677), Zn at (0.0000, 0.4046, 0.2500), As at (0.0000, 0.2425, 0.7500), O at (0.1097, 0.3947, 0.6506), O at (0.1139, 0.2499, 0.0955) and O at (0.1561, 0.0690, 0.5698).



DFT (GGA-PBE) results for an optimized crystal structure of YTiNiRh.

The energy relative to the elements is -0.422 eV/atom.

The structure belongs to space group F-43m (No. 216); the cell edges are 6.5040, 6.5040 and 6.5040 Å and the angles 90.00°, 90.00° and 90.00°. Symmetry generates all atoms from Y at (0.0000, 0.0000, 0.0000), Ti at (0.0000, 0.0000, 0.5000), Ni at (0.2500, 0.2500, 0.2500) and Rh at (0.2500, 0.2500, 0.7500).



DFT (GGA-PBE) results for an optimized crystal structure of HoTmMnNi.

The energy relative to the elements is -0.050 eV/atom.

The structure belongs to space group F-43m (No. 216); the cell edges are 6.8378, 6.8378 and 6.8378 Å and the angles 90.00°, 90.00° and 90.00°. Symmetry generates all atoms from Ho at (0.0000, 0.0000, 0.0000), Tm at (0.0000, 0.0000, 0.5000), Mn at (0.2500, 0.2500, 0.7500) and Ni at (0.2500, 0.2500, 0.2500).



DFT (GGA-PBE) results for an optimized crystal structure of TbDy3Y2Er6.

The energy relative to the elements is 0.022 eV/atom.

The structure belongs to space group C2/m (No. 12); the cell edges are 6.1181, 10.5842 and 11.6976 Å and the angles 90.00°, 99.99° and 90.00°. Symmetry generates all atoms from Tb at (0.0000, 0.0000, 0.0000), Dy at (0.0000, 0.1668, 0.5000), Dy at (0.0000, 0.5000, 0.5000), Y at (0.0000, 0.3333, 0.0000), Er at (0.2489, 0.0000, 0.7490) and Er at (0.2503, 0.1664, 0.2511).



DFT (GGA-PBE) results for an optimized crystal structure of ErCu2Ir.

The energy relative to the elements is -0.325 eV/atom.

The structure belongs to space group P4/mmm (No. 123); the cell edges are 3.9599, 3.9599 and 4.0404 Å and the angles 90.00°, 90.00° and 90.00°. Symmetry generates all atoms from Er at (0.0000, 0.0000, 0.0000), Cu at (0.0000, 0.5000, 0.5000) and Ir at (0.5000, 0.5000, 0.0000).



DFT (GGA-PBE) results for an optimized crystal structure of SrLi2ZnHg.

The energy relative to the elements is -0.108 eV/atom. As for the energy above the lowest structure with this stoichiometry: 0.000 eV per atom.

The structure belongs to space group P4/mmm (No. 123); the cell edges are 5.0356, 5.0356 and 5.0474 Å and the angles 90.00°, 90.00° and 90.00°. Symmetry generates all atoms from Sr at (0.0000, 0.0000, 0.0000), Li at (0.0000, 0.5000, 0.5000), Zn at (0.5000, 0.5000, 0.5000) and Hg at (0.5000, 0.5000, 0.0000).



DFT (GGA-PBE) results for an optimized crystal structure of BaTh4In5.

The energy relative to the elements is -0.283 eV/atom.

The structure belongs to space group P4/mmm (No. 123); the cell edges are 3.5519, 3.5519 and 23.7348 Å and the angles 90.00°, 90.00° and 90.00°. Symmetry generates all atoms from Ba at (0.0000, 0.0000, 0.0000), Th at (0.0000, 0.0000, 0.2098), Th at (0.0000, 0.0000, 0.4033), In at (0.5000, 0.5000, 0.1126), In at (0.5000, 0.5000, 0.3064) and In at (0.5000, 0.5000, 0.5000).



DFT (GGA-PBE) results for an optimized crystal structure of Ho2CuPb.

The energy relative to the elements is -0.270 eV/atom.

The structure belongs to space group P4/mmm (No. 123); the cell edges are 4.9569, 4.9569 and 4.0046 Å and the angles 90.00°, 90.00° and 90.00°. Symmetry generates all atoms from Ho at (0.0000, 0.5000, 0.0000), Cu at (0.0000, 0.0000, 0.5000) and Pb at (0.5000, 0.5000, 0.5000).



DFT (GGA-PBE) results for an optimized crystal structure of Na2H7Pt2.

The structure belongs to space group C2/m (No. 12); the cell edges are 8.1740, 5.8501 and 4.4794 Å and the angles 90.00°, 90.21° and 90.00°. Symmetry generates all atoms from Na at (0.0000, 0.2470, 0.0000), H at (0.0000, 0.0000, 0.5000), H at (0.0627, 0.5000, 0.4985), H at (0.2502, 0.2498, 0.2656) and Pt at (0.2282, 0.0000, 0.5012).



DFT (GGA-PBE) results for an optimized crystal structure of Tm4GaHgTe2.

The energy relative to the elements, uncorrected is -6.7 eV per formula unit.

The structure belongs to space group P2/m (No. 10); the cell edges are 7.0340, 4.0861 and 7.9507 Å and the angles 90.00°, 107.32° and 90.00°. Symmetry generates all atoms from Tm at (0.2391, 0.0000, 0.2356), Tm at (0.2479, 0.5000, 0.7589), Ga at (0.0000, 0.5000, 0.0000), Hg at (0.5000, 0.0000, 0.0000), Te at (0.0000, 0.0000, 0.5000) and Te at (0.5000, 0.5000, 0.5000).



DFT (GGA-PBE) results for an optimized crystal structure of Rb2ZrIn.

The energy relative to the elements is 0.823 eV/atom.

The structure belongs to space group I-42d (No. 122); the cell edges are 13.1630, 13.1630 and 5.6968 Å and the angles 90.00°, 90.00° and 90.00°. Symmetry generates all atoms from Rb at (0.1097, 0.2500, 0.1250), Zr at (0.0000, 0.0000, 0.5000) and In at (0.0000, 0.0000, 0.0000).



DFT (GGA-PBE) results for an optimized crystal structure of La2PrTe.

As for the energy above the lowest structure with this stoichiometry: 0.019 eV per atom. The energy relative to the elements, uncorrected is -2.5 eV per formula unit.

The structure belongs to space group R-3m (No. 166, hexagonal axes); the cell edges are 4.0637, 4.0637 and 31.0409 Å and the angles 90.00°, 90.00° and 120.00°. Symmetry generates all atoms from La at (0.0000, 0.0000, 0.2376), Pr at (0.0000, 0.0000, 0.0000) and Te at (0.0000, 0.0000, 0.5000).



DFT (GGA-PBE) results for an optimized crystal structure of Pr2Hg5Bi.

The energy relative to the elements is -0.440 eV/atom.

The structure belongs to space group Pbam (No. 55); the cell edges are 6.8319, 13.6619 and 4.6330 Å and the angles 90.00°, 90.00° and 90.00°. Symmetry generates all atoms from Pr at (0.2293, 0.1192, 0.0000), Hg at (0.0000, 0.5000, 0.5000), Hg at (0.0318, 0.7463, 0.5000), Hg at (0.2194, 0.3645, 0.0000) and Bi at (0.0000, 0.0000, 0.5000).



DFT (GGA-PBE) results for an optimized crystal structure of InCu2HO.

The structure belongs to space group P4/mmm (No. 123); the cell edges are 4.8657, 4.8657 and 3.5211 Å and the angles 90.00°, 90.00° and 90.00°. Symmetry generates all atoms from In at (0.0000, 0.0000, 0.0000), Cu at (0.0000, 0.5000, 0.0000), H at (0.0000, 0.0000, 0.5000) and O at (0.5000, 0.5000, 0.5000).



DFT (GGA-PBE) results for an optimized crystal structure of SrMgP2O6.

The energy relative to the elements, uncorrected is -22.5 eV per formula unit.

The structure belongs to space group R-3 (No. 148, hexagonal axes); the cell edges are 5.2097, 5.2097 and 17.7208 Å and the angles 90.00°, 90.00° and 120.00°. Symmetry generates all atoms from Sr at (0.0000, 0.0000, 0.0000), Mg at (0.0000, 0.0000, 0.5000), P at (0.0000, 0.0000, 0.2567) and O at (0.0292, 0.3958, 0.9025).



DFT (GGA-PBE) results for an optimized crystal structure of SiAsRu.

As for the energy above the lowest structure with this stoichiometry: 0.131 eV per atom. The energy relative to the elements, uncorrected is -0.3 eV per formula unit.

The structure belongs to space group P3m1 (No. 156); the cell edges are 3.1015, 3.1015 and 5.5128 Å and the angles 90.00°, 90.00° and 120.00°. Symmetry generates all atoms from Si at (0.0000, 0.0000, 0.0000), As at (0.3333, 0.6667, 0.3692) and Ru at (0.6667, 0.3333, 0.6979).



DFT (GGA-PBE) results for an optimized crystal structure of Th3Zn8Au3.

The energy relative to the elements is -0.377 eV/atom. As for the energy above the lowest structure with this stoichiometry: 0.026 eV per atom.

The structure belongs to space group Immm (No. 71); the cell edges are 4.4444, 9.3232 and 13.1795 Å and the angles 90.00°, 90.00° and 90.00°. Symmetry generates all atoms from Th at (0.0000, 0.0000, 0.0000), Th at (0.0000, 0.0000, 0.3092), Zn at (0.0000, 0.2738, 0.1379), Zn at (0.0000, 0.3662, 0.3291), Au at (0.0000, 0.2209, 0.5000) and Au at (0.0000, 0.5000, 0.0000).



DFT (GGA-PBE) results for an optimized crystal structure of CaSeCl3.

As for the energy above the lowest structure with this stoichiometry: 0.000 eV per atom. The energy relative to the elements, uncorrected is -4.8 eV per formula unit.

The structure belongs to space group Pm-3m (No. 221); the cell edges are 5.3810, 5.3810 and 5.3810 Å and the angles 90.00°, 90.00° and 90.00°. Symmetry generates all atoms from Ca at (0.0000, 0.0000, 0.0000), Se at (0.5000, 0.5000, 0.5000) and Cl at (0.0000, 0.0000, 0.5000).



DFT (GGA-PBE) results for an optimized crystal structure of Mo2PbSe.

As for the energy above the lowest structure with this stoichiometry: 0.653 eV per atom. The energy relative to the elements, uncorrected is 3.2 eV per formula unit.

The structure belongs to space group Pmmm (No. 47); the cell edges are 3.2244, 4.5417 and 5.2221 Å and the angles 90.00°, 90.00° and 90.00°. Symmetry generates all atoms from Mo at (0.0000, 0.0000, 0.0000), Mo at (0.5000, 0.0000, 0.5000), Pb at (0.0000, 0.5000, 0.5000) and Se at (0.5000, 0.5000, 0.0000).



DFT (GGA-PBE) results for an optimized crystal structure of PaPbCl2F6.

The energy relative to the elements, uncorrected is -26.2 eV per formula unit.

The structure belongs to space group Fm-3m (No. 225); the cell edges are 9.3363, 9.3363 and 9.3363 Å and the angles 90.00°, 90.00° and 90.00°. Symmetry generates all atoms from Pa at (0.0000, 0.0000, 0.0000), Pb at (0.0000, 0.0000, 0.5000), Cl at (0.2500, 0.2500, 0.2500) and F at (0.0000, 0.0000, 0.2274).



no.,total DFT energy (no corrections) (eV/cell),magnetization (μB/atom)
1,-252.505,0.099
2,-116.726,0.002
3,-96.794,0.830
4,-116.967,0.000
5,-22.914,0.000
6,-7.627,0.000
7,-48.121,0.000
8,-18.039,0.071
9,-79.443,0.000
10,-34.215,0.000
11,-39.711,0.470
12,-60.717,0.000
13,-36.930,0.000
14,-13.912,0.000
15,-199.056,0.199
16,-19.690,0.000
17,-95.124,0.000
18,-15.855,0.600
19,-25.690,0.163
20,-217.226,0.102